[1]
A PBEsol-optimized structure of LiLa2Hg. Source: Alexandria via LeMat-Bulk, functional meta-GGA SCAN.

Cell: 3.7748 5.2464 6.2721 Å, 114.72 107.51 90.00°
Closest atoms and distances in Å follow each position.
Positions (direct):
1 La 0.7611 0.2611 0.5221  4 Hg 3.26, 4 Li 3.53-3.55, 4 La 3.54
2 La 0.9828 0.9828 0.9655  4 Li 3.29, 4 Hg 3.42-3.64, 4 La 3.54
3 Li 0.5382 0.5382 0.0764  2 Hg 2.70
4 Hg 0.2180 0.7180 0.4360  2 Li 2.70

Properties
E_tot (Ha/atom): -1.453
Magnetization (μB/atom): 0.005
Mass density (g/cm3): 7.571
Volume (A^3/atom): 26.61

---

[2]
A PBEsol-optimized structure of Li2MnN2. Source: Alexandria via LeMat-Bulk, functional meta-GGA SCAN.

Cell: 2.9853 2.9853 5.3075 Å, 90.00 90.00 120.00°
Closest atoms and distances in Å follow each position.
Positions (direct):
1 N 0.6667 0.3333 0.7997  3 Li 1.91, 3 Mn 2.02
2 Mn 0.0000 0.0000 0.0000  6 N 2.02
3 N 0.3333 0.6667 0.2003  3 Li 1.91, 3 Mn 2.02
4 Li 0.6667 0.3333 0.3573  3 N 1.91
5 Li 0.3333 0.6667 0.6427  3 N 1.91

Properties
E_tot (Ha/atom): -0.333
Magnetization (μB/atom): 0.601
Mass density (g/cm3): 3.925
Formation energy from raw total energies (eV/atom): -0.727
Volume (A^3/atom): 8.19